--- P ---
# Y3NbOs | Alexandria | PBE | optimized geometry
data_Y3NbOs
_chemical_formula_sum 'Y3 Nb1 Os1'
_cell_length_a 5.3394
_cell_length_b 5.3394
_cell_length_c 5.3394
_cell_angle_alpha 90.00
_cell_angle_beta 90.00
_cell_angle_gamma 90.00
_symmetry_space_group_name_H-M 'P m -3 m'
_symmetry_Int_Tables_number 221
_symmetry_space_group_name_Hall '-P 4 2 3'
loop_
_atom_site_label
_atom_site_fract_x
_atom_site_fract_y
_atom_site_fract_z
Y1 0.0000 0.0000 0.5000
Nb1 0.5000 0.5000 0.5000
Os1 0.0000 0.0000 0.0000
# - Mass density: 6.00 g cm⁻³
# - Total magnetization: 3.5 μB/cell
# - Crystal system: cubic


--- Q ---
# Y3NbOs | Alexandria | PBE | optimized geometry
data_Y3NbOs
_chemical_formula_sum 'Y3 Nb1 Os1'
_cell_length_a 5.1923
_cell_length_b 5.1923
_cell_length_c 5.1923
_cell_angle_alpha 90.00
_cell_angle_beta 90.00
_cell_angle_gamma 90.00
_symmetry_space_group_name_H-M 'P m -3 m'
_symmetry_Int_Tables_number 221
_symmetry_space_group_name_Hall '-P 4 2 3'
loop_
_atom_site_label
_atom_site_fract_x
_atom_site_fract_y
_atom_site_fract_z
Y1 0.0000 0.0000 0.5000
Nb1 0.0000 0.0000 0.0000
Os1 0.5000 0.5000 0.5000
# - Mass density: 6.52 g cm⁻³
# - Total magnetization: 1.0 μB/cell
# - Crystal system: cubic


Q: Which of them is the most stable? A: P.


--- P ---
# YNbOs | Alexandria | PBE | optimized geometry
data_YNbOs
_chemical_formula_sum 'Y6 Nb6 Os6'
_cell_length_a 4.6389
_cell_length_b 11.7859
_cell_length_c 6.8126
_cell_angle_alpha 90.00
_cell_angle_beta 90.00
_cell_angle_gamma 90.00
_symmetry_space_group_name_H-M 'A m m 2'
_symmetry_Int_Tables_number 38
loop_
_symmetry_equiv_pos_as_xyz
'x,y,z'
'-x,-y,z'
'-x,y,z'
'x,-y,z'
'x,y+1/2,z+1/2'
'-x,-y+1/2,z+1/2'
'-x,y+1/2,z+1/2'
'x,-y+1/2,z+1/2'
loop_
_atom_site_label
_atom_site_fract_x
_atom_site_fract_y
_atom_site_fract_z
Y1 0.0000 0.0000 0.0000
Y2 0.0000 0.2126 0.6378
Nb1 0.5000 0.0000 0.6735
Nb2 0.5000 0.1238 0.3012
Os1 0.0000 0.0000 0.4249
Os2 0.5000 0.1665 0.9252
# - Mass density: 9.95 g cm⁻³
# - Total magnetization: 0.0 μB/cell
# - Crystal system: orthorhombic


--- Q ---
# YNbOs | Alexandria | PBE | optimized geometry
data_YNbOs
_chemical_formula_sum 'Y4 Nb4 Os4'
_cell_length_a 5.6499
_cell_length_b 5.7282
_cell_length_c 7.4307
_cell_angle_alpha 90.00
_cell_angle_beta 90.00
_cell_angle_gamma 90.00
_symmetry_space_group_name_H-M 'I m m a'
_symmetry_Int_Tables_number 74
_symmetry_space_group_name_Hall '-I 2b 2'
loop_
_atom_site_label
_atom_site_fract_x
_atom_site_fract_y
_atom_site_fract_z
Y1 0.0000 0.2500 0.1358
Nb1 0.2500 0.2500 0.7500
Os1 0.0000 0.0000 0.5000
# - Mass density: 10.28 g cm⁻³
# - Total magnetization: 0.0 μB/cell
# - Crystal system: orthorhombic


Q: Which of them is the most stable? A: Q.


--- P ---
# Y2NbOs | Alexandria | PBE | optimized geometry
data_Y2NbOs
_chemical_formula_sum 'Y8 Nb4 Os4'
_cell_length_a 8.2939
_cell_length_b 8.2939
_cell_length_c 5.6300
_cell_angle_alpha 90.00
_cell_angle_beta 90.00
_cell_angle_gamma 90.00
_symmetry_space_group_name_H-M 'I -4 2 d'
_symmetry_Int_Tables_number 122
_symmetry_space_group_name_Hall 'I -4 2bw'
loop_
_atom_site_label
_atom_site_fract_x
_atom_site_fract_y
_atom_site_fract_z
Y1 0.1917 0.7500 0.1250
Nb1 0.0000 0.0000 0.5000
Os1 0.0000 0.0000 0.0000
# - Mass density: 7.91 g cm⁻³
# - Total magnetization: 0.0 μB/cell
# - Crystal system: tetragonal


--- Q ---
# Y2NbOs | Alexandria | PBE | optimized geometry
data_Y2NbOs
_chemical_formula_sum 'Y8 Nb4 Os4'
_cell_length_a 7.0548
_cell_length_b 7.0548
_cell_length_c 7.0548
_cell_angle_alpha 90.00
_cell_angle_beta 90.00
_cell_angle_gamma 90.00
_symmetry_space_group_name_H-M 'F m -3 m'
_symmetry_Int_Tables_number 225
_symmetry_space_group_name_Hall '-F 4 2 3'
loop_
_atom_site_label
_atom_site_fract_x
_atom_site_fract_y
_atom_site_fract_z
Y1 0.2500 0.2500 0.2500
Nb1 0.0000 0.0000 0.0000
Os1 0.0000 0.0000 0.5000
# - Mass density: 8.72 g cm⁻³
# - Total magnetization: 11.9 μB/cell
# - Crystal system: cubic


Q: Which of them is the most stable? A: Q.


--- P ---
# Y2NbOs2 | Alexandria | PBE | optimized geometry
data_Y2NbOs2
_chemical_formula_sum 'Y4 Nb2 Os4'
_cell_length_a 4.1159
_cell_length_b 5.6886
_cell_length_c 9.2416
_cell_angle_alpha 90.00
_cell_angle_beta 90.00
_cell_angle_gamma 90.00
_symmetry_space_group_name_H-M 'I m m m'
_symmetry_Int_Tables_number 71
_symmetry_space_group_name_Hall '-I 2 2'
loop_
_atom_site_label
_atom_site_fract_x
_atom_site_fract_y
_atom_site_fract_z
Y1 0.0000 0.0000 0.2051
Nb1 0.0000 0.5000 0.0000
Os1 0.0000 0.2782 0.5000
# - Mass density: 9.99 g cm⁻³
# - Total magnetization: 0.0 μB/cell
# - Crystal system: orthorhombic


--- Q ---
# Y2NbOs2 | Alexandria | PBE | optimized geometry
data_Y2NbOs2
_chemical_formula_sum 'Y4 Nb2 Os4'
_cell_length_a 6.7650
_cell_length_b 6.7650
_cell_length_c 4.7182
_cell_angle_alpha 90.00
_cell_angle_beta 90.00
_cell_angle_gamma 90.00
_symmetry_space_group_name_H-M 'P 4/m b m'
_symmetry_Int_Tables_number 127
_symmetry_space_group_name_Hall '-P 4 2ab'
loop_
_atom_site_label
_atom_site_fract_x
_atom_site_fract_y
_atom_site_fract_z
Y1 0.1790 0.3210 0.0000
Nb1 0.0000 0.0000 0.5000
Os1 0.1271 0.6271 0.5000
# - Mass density: 10.02 g cm⁻³
# - Total magnetization: 0.0 μB/cell
# - Crystal system: tetragonal


Q: Which of them is the most stable? A: P.


--- P ---
# NbZn2Os | Alexandria | PBE | optimized geometry
data_NbZn2Os
_chemical_formula_sum 'Nb4 Zn8 Os4'
_cell_length_a 6.1868
_cell_length_b 6.1868
_cell_length_c 6.1868
_cell_angle_alpha 90.00
_cell_angle_beta 90.00
_cell_angle_gamma 90.00
_symmetry_space_group_name_H-M 'F m -3 m'
_symmetry_Int_Tables_number 225
_symmetry_space_group_name_Hall '-F 4 2 3'
loop_
_atom_site_label
_atom_site_fract_x
_atom_site_fract_y
_atom_site_fract_z
Nb1 0.0000 0.0000 0.0000
Zn1 0.2500 0.2500 0.2500
Os1 0.0000 0.0000 0.5000
# - Mass density: 11.61 g cm⁻³
# - Total magnetization: 0.0 μB/cell
# - Crystal system: cubic


--- Q ---
# NbZn2Os | Alexandria | PBE | optimized geometry
data_NbZn2Os
_chemical_formula_sum 'Nb4 Zn8 Os4'
_cell_length_a 3.7279
_cell_length_b 3.7279
_cell_length_c 19.1652
_cell_angle_alpha 90.00
_cell_angle_beta 90.00
_cell_angle_gamma 90.00
_symmetry_space_group_name_H-M 'I -4 2 d'
_symmetry_Int_Tables_number 122
_symmetry_space_group_name_Hall 'I -4 2bw'
loop_
_atom_site_label
_atom_site_fract_x
_atom_site_fract_y
_atom_site_fract_z
Nb1 0.0000 0.0000 0.0000
Zn1 0.2346 0.2500 0.6250
Os1 0.0000 0.0000 0.5000
# - Mass density: 10.32 g cm⁻³
# - Total magnetization: 0.0 μB/cell
# - Crystal system: tetragonal


Q: Which of them is the most stable? A: P.


--- P ---
# Nb2ZnOs2 | Alexandria | PBE | optimized geometry
data_Nb2ZnOs2
_chemical_formula_sum 'Nb4 Zn2 Os4'
_cell_length_a 7.6599
_cell_length_b 7.6599
_cell_length_c 2.9794
_cell_angle_alpha 90.00
_cell_angle_beta 90.00
_cell_angle_gamma 90.00
_symmetry_space_group_name_H-M 'P 4/m b m'
_symmetry_Int_Tables_number 127
_symmetry_space_group_name_Hall '-P 4 2ab'
loop_
_atom_site_label
_atom_site_fract_x
_atom_site_fract_y
_atom_site_fract_z
Nb1 0.1514 0.3486 0.0000
Zn1 0.0000 0.0000 0.0000
Os1 0.1433 0.6433 0.5000
# - Mass density: 12.00 g cm⁻³
# - Total magnetization: 0.0 μB/cell
# - Crystal system: tetragonal


--- Q ---
# Nb2ZnOs2 | Alexandria | PBE | optimized geometry
data_Nb2ZnOs2
_chemical_formula_sum 'Nb4 Zn2 Os4'
_cell_length_a 7.5320
_cell_length_b 7.5320
_cell_length_c 3.0355
_cell_angle_alpha 90.00
_cell_angle_beta 90.00
_cell_angle_gamma 90.00
_symmetry_space_group_name_H-M 'P 4/m b m'
_symmetry_Int_Tables_number 127
_symmetry_space_group_name_Hall '-P 4 2ab'
loop_
_atom_site_label
_atom_site_fract_x
_atom_site_fract_y
_atom_site_fract_z
Nb1 0.1588 0.3412 0.0000
Zn1 0.0000 0.0000 0.5000
Os1 0.1390 0.6390 0.5000
# - Mass density: 12.18 g cm⁻³
# - Total magnetization: 0.0 μB/cell
# - Crystal system: tetragonal


--- R ---
# Nb2ZnOs2 | Alexandria | PBE | optimized geometry
data_Nb2ZnOs2
_chemical_formula_sum 'Nb4 Zn2 Os4'
_cell_length_a 4.2977
_cell_length_b 4.2977
_cell_length_c 10.6653
_cell_angle_alpha 90.00
_cell_angle_beta 90.00
_cell_angle_gamma 90.00
_symmetry_space_group_name_H-M 'I 4/m m m'
_symmetry_Int_Tables_number 139
_symmetry_space_group_name_Hall '-I 4 2'
loop_
_atom_site_label
_atom_site_fract_x
_atom_site_fract_y
_atom_site_fract_z
Nb1 0.0000 0.5000 0.2500
Zn1 0.0000 0.0000 0.0000
Os1 0.0000 0.0000 0.3840
# - Mass density: 10.65 g cm⁻³
# - Total magnetization: 0.0 μB/cell
# - Crystal system: tetragonal


Q: Which of them is the most stable? A: Q.